Record 1
The following is a DFT calculation (PBE) of crystalline Sc8HC3S4 at its relaxed geometry.

The calculation puts the calculated density at 3.57 g cm⁻³. The crystal system is trigonal.

It has space group R-3m (No. 166, hexagonal axes), with a = 6.9377 Å, b = 6.9377 Å, c = 17.5701 Å, α = 90.00°, β = 90.00° and γ = 120.00°. Symmetry generates all atoms from Sc at (0.0000, 0.0000, 0.2358), Sc at (0.0174, 0.5087, 0.7608), H at (0.0000, 0.0000, 0.5000), C at (0.0000, 0.5000, 0.5000), S at (0.0000, 0.0000, 0.0000) and S at (0.0000, 0.5000, 0.0000).

=====

Record 2
The following is a DFT calculation (PBE) of crystalline Sc6H3C2S at its relaxed geometry.

The calculation puts the calculated density at 3.38 g cm⁻³. The crystal system is monoclinic.

It has space group C2/m (No. 12), with a = 5.948 Å, b = 10.345 Å, c = 5.608 Å, α = 90.00°, β = 110.38° and γ = 90.00°. Symmetry generates all atoms from Sc at (0.219, 0.000, 0.241), Sc at (0.243, 0.179, 0.763), H at (0.000, 0.000, 0.500), H at (0.000, 0.330, 0.500), C at (0.000, 0.166, 0.000) and S at (0.000, 0.500, 0.000).

=====

Record 3
The following is a DFT calculation (PBE) of crystalline Sc4HCS2 at its relaxed geometry.

The calculation puts the calculated density at 3.49 g cm⁻³. The crystal system is monoclinic.

It has space group P2/m (No. 10), with a = 5.983 Å, b = 3.510 Å, c = 6.105 Å, α = 90.00°, β = 107.67° and γ = 90.00°. Symmetry generates all atoms from Sc at (0.228, 0.000, 0.208), Sc at (0.233, 0.500, 0.766), H at (0.500, 0.000, 0.000), C at (0.000, 0.500, 0.000), S at (0.000, 0.000, 0.500) and S at (0.500, 0.500, 0.500).

=====

Record 4
The following is a DFT calculation (PBE) of crystalline Sm8HC3S4 at its relaxed geometry.

The calculation puts the calculated density at 6.93 g cm⁻³. The crystal system is trigonal.

It has space group R-3m (No. 166, hexagonal axes), with a = 7.6658 Å, b = 7.6658 Å, c = 19.3389 Å, α = 90.00°, β = 90.00° and γ = 120.00°. Symmetry generates all atoms from Sm at (0.0000, 0.0000, 0.2388), Sm at (0.0148, 0.5074, 0.7588), H at (0.0000, 0.0000, 0.5000), C at (0.0000, 0.5000, 0.5000), S at (0.0000, 0.0000, 0.0000) and S at (0.0000, 0.5000, 0.0000).

=====

Record 5
The following is a DFT calculation (PBE) of crystalline Sm3HCS at its relaxed geometry.

The calculation puts the calculated density at 6.97 g cm⁻³. The crystal system is monoclinic.

It has space group P2_1/m (No. 11), with a = 7.954 Å, b = 3.749 Å, c = 8.132 Å, α = 90.00°, β = 102.77° and γ = 90.00°. Symmetry generates all atoms from Sm at (0.056, 0.250, 0.336), Sm at (0.272, 0.250, 0.976), Sm at (0.376, 0.750, 0.638), H at (0.423, 0.750, 0.925), C at (0.169, 0.250, 0.660) and S at (0.328, 0.750, 0.279).

=====

Record 6
The following is a DFT calculation (PBE) of crystalline Sm6HC3S2 at its relaxed geometry.

The calculation puts the calculated density at 6.92 g cm⁻³. The crystal system is monoclinic.

It has space group C2/m (No. 12), with a = 16.953 Å, b = 3.784 Å, c = 7.821 Å, α = 90.00°, β = 106.22° and γ = 90.00°. Symmetry generates all atoms from Sm at (0.010, 0.000, 0.228), Sm at (0.161, 0.500, 0.100), Sm at (0.175, 0.500, 0.562), H at (0.000, 0.500, 0.500), C at (0.000, 0.500, 0.000), C at (0.167, 0.000, 0.333) and S at (0.163, 0.000, 0.825).

=====

Record 7
The following is a DFT calculation (PBE) of crystalline SrHC2S at its relaxed geometry.

The calculation puts the calculated density at 3.73 g cm⁻³. The crystal system is tetragonal.

It has space group P4/mmm (No. 123), with a = 4.107 Å, b = 4.107 Å, c = 3.821 Å, α = 90.00°, β = 90.00° and γ = 90.00°. Symmetry generates all atoms from Sr at (0.000, 0.000, 0.000), H at (0.500, 0.500, 0.500), C at (0.000, 0.500, 0.500) and S at (0.500, 0.500, 0.000).

=====

Record 8
The following is a DFT calculation (PBE) of crystalline Tb4HCS2 at its relaxed geometry.

The calculation puts the calculated density at 7.74 g cm⁻³. The crystal system is monoclinic.

It has space group P2/m (No. 10), with a = 6.456 Å, b = 3.779 Å, c = 6.586 Å, α = 90.00°, β = 107.84° and γ = 90.00°. Symmetry generates all atoms from Tb at (0.232, 0.000, 0.214), Tb at (0.234, 0.500, 0.762), H at (0.500, 0.000, 0.000), C at (0.000, 0.500, 0.000), S at (0.000, 0.000, 0.500) and S at (0.500, 0.500, 0.500).

=====

Record 9
The following is a DFT calculation (PBE) of crystalline Tb6HC2S3 at its relaxed geometry.

The calculation puts the calculated density at 7.74 g cm⁻³. The crystal system is monoclinic.

It has space group C2/m (No. 12), with a = 16.514 Å, b = 3.758 Å, c = 7.683 Å, α = 90.00°, β = 104.79° and γ = 90.00°. Symmetry generates all atoms from Tb at (0.012, 0.000, 0.258), Tb at (0.166, 0.500, 0.112), Tb at (0.175, 0.500, 0.564), H at (0.000, 0.500, 0.000), C at (0.164, 0.000, 0.330), S at (0.000, 0.500, 0.500) and S at (0.164, 0.000, 0.834).

=====

Record 10
The following is a DFT calculation (PBE) of crystalline Tb6HC3S2 at its relaxed geometry.

The calculation puts the calculated density at 7.78 g cm⁻³. The crystal system is monoclinic.

It has space group C2/m (No. 12), with a = 16.567 Å, b = 3.700 Å, c = 7.645 Å, α = 90.00°, β = 106.15° and γ = 90.00°. Symmetry generates all atoms from Tb at (0.010, 0.000, 0.227), Tb at (0.160, 0.500, 0.102), Tb at (0.175, 0.500, 0.561), H at (0.000, 0.500, 0.500), C at (0.000, 0.500, 0.000), C at (0.166, 0.000, 0.333) and S at (0.163, 0.000, 0.825).

=====

Record 11
The following is a DFT calculation (PBE) of crystalline Tb8HC3S3 at its relaxed geometry.

The calculation puts the calculated density at 7.76 g cm⁻³. The crystal system is trigonal.

It has space group R-3m (No. 166, hexagonal axes), with a = 7.4401 Å, b = 7.4401 Å, c = 18.7977 Å, α = 90.00°, β = 90.00° and γ = 120.00°. Symmetry generates all atoms from Tb at (0.0000, 0.0000, 0.2394), Tb at (0.0134, 0.5067, 0.7602), H at (0.0000, 0.0000, 0.0000), C at (0.0000, 0.5000, 0.5000) and S at (0.0000, 0.5000, 0.0000).

=====

Record 12
The following is a DFT calculation (PBE) of crystalline Tb4HC2S at its relaxed geometry.

The calculation puts the calculated density at 8.08 g cm⁻³. The crystal system is orthorhombic.

It has space group Fmm2 (No. 42), with a = 7.441 Å, b = 10.282 Å, c = 7.442 Å, α = 90.00°, β = 90.00° and γ = 90.00°. Symmetry generates all atoms from Tb at (0.000, 0.246, 0.000), Tb at (0.250, 0.000, 0.250), H at (0.000, 0.000, 0.999), C at (0.250, 0.250, 0.250) and S at (0.000, 0.000, 0.500).

=====

Record 13
The following is a DFT calculation (PBE) of crystalline Th6HC3S2 at its relaxed geometry.

The calculation puts the calculated density at 9.97 g cm⁻³. The crystal system is monoclinic.

It has space group C2/m (No. 12), with a = 17.089 Å, b = 3.825 Å, c = 7.934 Å, α = 90.00°, β = 106.39° and γ = 90.00°. Symmetry generates all atoms from Th at (0.010, 0.000, 0.232), Th at (0.161, 0.500, 0.102), Th at (0.172, 0.500, 0.561), H at (0.000, 0.500, 0.500), C at (0.000, 0.500, 0.000), C at (0.168, 0.000, 0.335) and S at (0.164, 0.000, 0.829).

=====

Record 14
The following is a DFT calculation (PBE) of crystalline Th6HC2S3 at its relaxed geometry.

The calculation puts the calculated density at 9.87 g cm⁻³. The crystal system is monoclinic.

It has space group C2/m (No. 12), with a = 17.159 Å, b = 3.825 Å, c = 8.076 Å, α = 90.00°, β = 106.20° and γ = 90.00°. Symmetry generates all atoms from Th at (0.008, 0.000, 0.243), Th at (0.158, 0.500, 0.105), Th at (0.174, 0.500, 0.563), H at (0.000, 0.500, 0.000), C at (0.167, 0.000, 0.334), S at (0.000, 0.500, 0.500) and S at (0.170, 0.000, 0.837).

=====

Record 15
The following is a DFT calculation (PBE) of crystalline Ti5HCS2 at its relaxed geometry.

The calculation puts the calculated density at 4.73 g cm⁻³. The crystal system is orthorhombic.

It has space group Cmc2_1 (No. 36), with a = 3.244 Å, b = 13.695 Å, c = 10.003 Å, α = 90.00°, β = 90.00° and γ = 90.00°. Symmetry generates all atoms from Ti at (0.000, 0.001, 0.000), Ti at (0.000, 0.160, 0.749), Ti at (0.000, 0.191, 0.400), Ti at (0.000, 0.193, 0.113), Ti at (0.000, 0.470, 0.760), H at (0.000, 0.059, 0.165), C at (0.000, 0.314, 0.756), S at (0.000, 0.373, 0.430) and S at (0.000, 0.378, 0.074).

=====

Record 16
The following is a DFT calculation (PBE) of crystalline Tm8HC4S3 at its relaxed geometry.

The calculation puts the calculated density at 8.81 g cm⁻³. The crystal system is trigonal.

It has space group R-3m (No. 166, hexagonal axes), with a = 7.2383 Å, b = 7.2383 Å, c = 18.6444 Å, α = 90.00°, β = 90.00° and γ = 120.00°. Symmetry generates all atoms from Tm at (0.0000, 0.0000, 0.2370), Tm at (0.0010, 0.5005, 0.2361), H at (0.0000, 0.0000, 0.0000), C at (0.0000, 0.0000, 0.5000), C at (0.0000, 0.5000, 0.5000) and S at (0.0000, 0.5000, 0.0000).

=====

Record 17
The following is a DFT calculation (PBE) of crystalline Tm3HCS at its relaxed geometry.

The calculation puts the calculated density at 8.92 g cm⁻³. The crystal system is monoclinic.

It has space group P2_1/m (No. 11), with a = 7.524 Å, b = 3.586 Å, c = 7.797 Å, α = 90.00°, β = 102.37° and γ = 90.00°. Symmetry generates all atoms from Tm at (0.055, 0.250, 0.339), Tm at (0.266, 0.250, 0.974), Tm at (0.376, 0.750, 0.641), H at (0.424, 0.750, 0.924), C at (0.168, 0.250, 0.660) and S at (0.328, 0.750, 0.280).

=====

Record 18
The following is a DFT calculation (PBE) of crystalline Tm8HC3S3 at its relaxed geometry.

The calculation puts the calculated density at 8.83 g cm⁻³. The crystal system is trigonal.

It has space group R-3m (No. 166, hexagonal axes), with a = 7.2594 Å, b = 7.2594 Å, c = 18.3516 Å, α = 90.00°, β = 90.00° and γ = 120.00°. Symmetry generates all atoms from Tm at (0.0000, 0.0000, 0.2383), Tm at (0.0135, 0.5067, 0.7606), H at (0.0000, 0.0000, 0.0000), C at (0.0000, 0.5000, 0.5000) and S at (0.0000, 0.5000, 0.0000).

=====

Record 19
The following is a DFT calculation (PBE) of crystalline Y6HC2S3 at its relaxed geometry.

The calculation puts the calculated density at 4.77 g cm⁻³. The crystal system is monoclinic.

It has space group C2/m (No. 12), with a = 16.443 Å, b = 3.747 Å, c = 7.654 Å, α = 90.00°, β = 104.85° and γ = 90.00°. Symmetry generates all atoms from Y at (0.012, 0.000, 0.257), Y at (0.166, 0.500, 0.112), Y at (0.175, 0.500, 0.564), H at (0.000, 0.500, 0.000), C at (0.164, 0.000, 0.330), S at (0.000, 0.500, 0.500) and S at (0.164, 0.000, 0.834).

=====

Record 20
The following is a DFT calculation (PBE) of crystalline Y8HC3S4 at its relaxed geometry.

The calculation puts the calculated density at 4.80 g cm⁻³. The crystal system is trigonal.

It has space group R-3m (No. 166, hexagonal axes), with a = 7.4611 Å, b = 7.4611 Å, c = 18.8735 Å, α = 90.00°, β = 90.00° and γ = 120.00°. Symmetry generates all atoms from Y at (0.0000, 0.0000, 0.2376), Y at (0.0155, 0.5077, 0.7594), H at (0.0000, 0.0000, 0.5000), C at (0.0000, 0.5000, 0.5000), S at (0.0000, 0.0000, 0.0000) and S at (0.0000, 0.5000, 0.0000).

=====

| no. | calculated total energy (eV per atom) |
| --- | --- |
| 1 | -7.421 |
| 2 | -6.637 |
| 3 | -6.998 |
| 4 | -6.517 |
| 5 | -6.047 |
| 6 | -6.536 |
| 7 | -3.828 |
| 8 | -6.142 |
| 9 | -6.413 |
| 10 | -6.584 |
| 11 | -6.392 |
| 12 | -6.210 |
| 13 | -7.885 |
| 14 | -7.660 |
| 15 | -7.673 |
| 16 | -6.652 |
| 17 | -6.016 |
| 18 | -6.347 |
| 19 | -7.343 |
| 20 | -7.473 |